# 1
Here is Rb3GaF6 after structural relaxation from Alexandria. Energies are from PBEsol.

Unit cell a=9.006 b=9.006 c=9.006 alpha=90.00 beta=90.00 gamma=90.00
Space group Fm-3m (No. 225)
One atom of each set of equivalent atoms:
Rb 0.000 0.000 0.000 [4 per cell]
Rb 0.250 0.250 0.250 [8 per cell]
Ga 0.000 0.000 0.500 [4 per cell]
F 0.000 0.000 0.288 [24 per cell]

Computed properties:
Total moment (μB per cell): 0.1
Formation energy (no corrections) (meV/atom): -2797
Calculated density (Mg/m³): 4.002
Total DFT energy (no corrections) (eV per cell): -183.81



# 2
Here is RbGaTc2F after structural relaxation from Alexandria. Energies are from PBEsol.

Unit cell a=4.686 b=4.686 c=5.876 alpha=90.00 beta=90.00 gamma=90.00
Space group P4/mmm (No. 123)
One atom of each set of equivalent atoms:
Rb 0.000 0.000 0.000 [1 per cell]
Ga 0.000 0.000 0.500 [1 per cell]
Tc 0.000 0.500 0.000 [2 per cell]
F 0.500 0.500 0.500 [1 per cell]

Computed properties:
Total moment (μB per cell): 4.4
Formation energy (no corrections) (meV/atom): 2630
Calculated density (Mg/m³): 4.765
Total DFT energy (no corrections) (eV per cell): -15.67